The following is a PBE-GGA calculation of an optimized crystal structure of LiDy4TmSe8, from Alexandria via LeMat-Bulk.

Properties
Its density is 5.90 g/cm3. Its uncorrected formation energy is -1.7797 eV/atom. For the total DFT energy (no corrections), the calculation gives -5.54 eV/atom.

abc: 8.356 8.356 8.328
angles: 59.89 59.89 60.00
Fractional positions:
Se  0.243  0.243  0.747
Se  0.761  0.761  0.255
Se  0.761  0.223  0.255
Se  0.758  0.758  0.725
Se  0.766  0.243  0.747
Se  0.223  0.761  0.255
Se  0.245  0.245  0.265
Se  0.243  0.766  0.747
Dy  0.484  0.005  0.505
Dy  0.005  0.484  0.505
Dy  0.624  0.624  0.127
Dy  0.005  0.005  0.505
Li  0.375  0.375  0.875
Tm  0.005  0.005  0.984